First-principles (PBE) data for crystalline SnMo2Ir at its relaxed geometry, as listed in the Open Quantum Materials Database.

Computed properties:
Total magnetic moment ... 0.71 μB/f.u.
VASP energy ... -8.453 eV per atom
Density ... 12.6 g cm⁻³

Unit cell a=6.4261 b=6.4261 c=6.4261 alpha=90.00 beta=90.00 gamma=90.00
Space group F-43m (No. 216)
Inequivalent atoms, fractional coordinates:
1 Sn 0.0000 0.0000 0.0000 x4
2 Mo 0.0000 0.0000 0.5000 x4
3 Mo 0.2500 0.2500 0.7500 x4
4 Ir 0.2500 0.2500 0.2500 x4